This record from Alexandria via LeMat-Bulk describes an optimized crystal structure of BMoRu. The functional is GGA-PBE.

* space group: No. 51
* DFT formation energy: -279 meV/atom

Cell: 10.7146 2.9298 6.7615 Å, 90.00 90.00 90.00°
Atoms (fractional coordinates):
1 B 0.0868 0.0000 0.0330
2 B 0.2500 0.5000 0.5838
3 B 0.4132 0.0000 0.0330
4 B 0.5868 0.0000 0.9670
5 B 0.7500 0.5000 0.4162
6 B 0.9132 0.0000 0.9670
7 Mo 0.0266 0.5000 0.7844
8 Mo 0.2500 0.5000 0.1777
9 Mo 0.4734 0.5000 0.7844
10 Mo 0.5266 0.5000 0.2156
11 Mo 0.7500 0.5000 0.8223
12 Mo 0.9734 0.5000 0.2156
13 Ru 0.1225 0.0000 0.4577
14 Ru 0.2500 0.0000 0.8259
15 Ru 0.3775 0.0000 0.4577
16 Ru 0.6225 0.0000 0.5423
17 Ru 0.7500 0.0000 0.1741
18 Ru 0.8775 0.0000 0.5423


This record from Alexandria via LeMat-Bulk describes an optimized crystal structure of LuMgCu. The functional is GGA-PBE.

* space group: No. 156
* DFT formation energy: -41 meV/atom

Cell: 4.6501 4.6501 3.3090 Å, 90.00 90.00 120.00°
Atoms (fractional coordinates):
1 Lu 0.0000 0.0000 0.0000
2 Mg 0.3333 0.6667 0.4994
3 Cu 0.6667 0.3333 0.5013


This record from Alexandria via LeMat-Bulk describes an optimized crystal structure of RbTaCdOs2. The functional is GGA-PBE.

* space group: No. 123
* DFT formation energy: 2748 meV/atom

Cell: 5.0528 5.0528 5.0582 Å, 90.00 90.00 90.00°
Atoms (fractional coordinates):
1 Rb 0.0000 0.0000 0.0000
2 Ta 0.5000 0.5000 0.0000
3 Cd 0.5000 0.5000 0.5000
4 Os 0.0000 0.5000 0.5000
5 Os 0.5000 0.0000 0.5000


This record from Alexandria via LeMat-Bulk describes an optimized crystal structure of TmMnRu. The functional is GGA-PBE.

* energy relative to the lowest polymorph listed for this composition: 0 meV/atom
* space group: No. 74
* DFT formation energy: -244 meV/atom

Cell: 5.2383 5.2383 5.2383 Å, 119.99 118.96 90.92°
Atoms (fractional coordinates):
1 Tm 0.3765 0.1265 0.2500
2 Tm 0.6235 0.8735 0.7500
3 Mn 0.0000 0.0000 0.5000
4 Mn 0.0000 0.5000 0.0000
5 Ru 0.0000 0.5000 0.5000
6 Ru 0.5000 0.5000 0.0000


This record from Alexandria via LeMat-Bulk describes an optimized crystal structure of CaBePtO5. The functional is GGA-PBE.

* space group: No. 15
* formation energy without anion corrections: -1539 meV per atom

Cell: 5.4648 5.4648 7.0854 Å, 104.39 104.39 107.85°
Atoms (fractional coordinates):
1 Ca 0.1547 0.8453 0.7500
2 Ca 0.8453 0.1547 0.2500
3 Be 0.1963 0.8037 0.2500
4 Be 0.8037 0.1963 0.7500
5 Pt 0.5000 0.5000 0.0000
6 Pt 0.5000 0.5000 0.5000
7 O 0.1120 0.2525 0.9160
8 O 0.1855 0.6006 0.3820
9 O 0.2525 0.1120 0.4160
10 O 0.3994 0.8145 0.1180
11 O 0.4125 0.5875 0.7500
12 O 0.5875 0.4125 0.2500
13 O 0.6006 0.1855 0.8820
14 O 0.7475 0.8880 0.5840
15 O 0.8145 0.3994 0.6180
16 O 0.8880 0.7475 0.0840


This record from Alexandria via LeMat-Bulk describes an optimized crystal structure of SmAl3Pd10. The functional is GGA-PBE.

* space group: No. 225
* DFT formation energy: -631 meV/atom

Cell: 8.7762 8.7762 8.7762 Å, 60.00 60.00 60.00°
Atoms (fractional coordinates):
1 Sm 0.2500 0.2500 0.2500
2 Sm 0.7500 0.7500 0.7500
3 Al 0.2295 0.2295 0.7705
4 Al 0.2295 0.7705 0.2295
5 Al 0.2295 0.7705 0.7705
6 Al 0.7705 0.2295 0.2295
7 Al 0.7705 0.2295 0.7705
8 Al 0.7705 0.7705 0.2295
9 Pd 0.1188 0.1188 0.1188
10 Pd 0.1188 0.1188 0.6436
11 Pd 0.1188 0.6436 0.1188
12 Pd 0.1568 0.5000 0.5000
13 Pd 0.1568 0.5000 0.8432
14 Pd 0.1568 0.8432 0.5000
15 Pd 0.3564 0.8812 0.8812
16 Pd 0.5000 0.1568 0.5000
17 Pd 0.5000 0.1568 0.8432
18 Pd 0.5000 0.5000 0.1568
19 Pd 0.5000 0.5000 0.8432
20 Pd 0.5000 0.8432 0.1568
21 Pd 0.5000 0.8432 0.5000
22 Pd 0.6436 0.1188 0.1188
23 Pd 0.8432 0.1568 0.5000
24 Pd 0.8432 0.5000 0.1568
25 Pd 0.8432 0.5000 0.5000
26 Pd 0.8812 0.3564 0.8812
27 Pd 0.8812 0.8812 0.3564
28 Pd 0.8812 0.8812 0.8812


This record from Alexandria via LeMat-Bulk describes an optimized crystal structure of K2CeCrS4. The functional is GGA-PBE.

* space group: No. 10
* formation energy without anion corrections: -1300 meV per atom

Cell: 6.6777 4.0010 7.6837 Å, 90.00 107.51 90.00°
Atoms (fractional coordinates):
1 K 0.0000 0.0000 0.0000
2 K 0.5000 0.5000 0.0000
3 Ce 0.0000 0.5000 0.5000
4 Cr 0.5000 0.0000 0.5000
5 S 0.2580 0.0000 0.6992
6 S 0.2924 0.5000 0.3134
7 S 0.7076 0.5000 0.6866
8 S 0.7420 0.0000 0.3008


This record from Alexandria via LeMat-Bulk describes an optimized crystal structure of MgPt2Rh. The functional is GGA-PBE.

* space group: No. 119
* DFT formation energy: -424 meV/atom

Cell: 4.8244 4.8244 4.8244 Å, 131.64 131.64 70.81°
Atoms (fractional coordinates):
1 Mg 0.0000 0.0000 0.0000
2 Pt 0.2500 0.7500 0.5000
3 Pt 0.5000 0.5000 0.0000
4 Rh 0.7500 0.2500 0.5000


This record from Alexandria via LeMat-Bulk describes an optimized crystal structure of SrCd2As. The functional is GGA-PBE.

* space group: No. 166
* DFT formation energy: -242 meV/atom

Cell: 6.7060 6.7060 6.7060 Å, 40.70 40.70 40.70°
Atoms (fractional coordinates):
1 Sr 0.0000 0.0000 0.0000
2 Cd 0.2245 0.2245 0.2245
3 Cd 0.7755 0.7755 0.7755
4 As 0.5000 0.5000 0.5000


This record from Alexandria via LeMat-Bulk describes an optimized crystal structure of Ba2GeI. The functional is GGA-PBE.

* energy relative to the lowest polymorph listed for this composition: 179 meV/atom
* space group: No. 225
* formation energy without anion corrections: -769 meV per atom

Cell: 5.9800 5.9800 5.9800 Å, 60.00 60.00 60.00°
Atoms (fractional coordinates):
1 Ba 0.2500 0.2500 0.2500
2 Ba 0.7500 0.7500 0.7500
3 Ge 0.0000 0.0000 0.0000
4 I 0.5000 0.5000 0.5000


This record from Alexandria via LeMat-Bulk describes an optimized crystal structure of YBRh3. The functional is GGA-PBE.

* energy relative to the lowest polymorph listed for this composition: 0 meV/atom
* space group: No. 221
* DFT formation energy: -781 meV/atom

Cell: 4.2104 4.2104 4.2104 Å, 90.00 90.00 90.00°
Atoms (fractional coordinates):
1 Y 0.0000 0.0000 0.0000
2 B 0.5000 0.5000 0.5000
3 Rh 0.0000 0.5000 0.5000
4 Rh 0.5000 0.0000 0.5000
5 Rh 0.5000 0.5000 0.0000


This record from Alexandria via LeMat-Bulk describes an optimized crystal structure of La8CoPdRh2. The functional is GGA-PBE.

* space group: No. 10
* DFT formation energy: -415 meV/atom

Cell: 6.7491 8.5322 6.7962 Å, 90.00 91.19 90.00°
Atoms (fractional coordinates):
1 La 0.1500 0.0000 0.2709
2 La 0.1645 0.5000 0.2668
3 La 0.3475 0.2677 0.7662
4 La 0.3475 0.7323 0.7662
5 La 0.6525 0.2677 0.2338
6 La 0.6525 0.7323 0.2338
7 La 0.8355 0.5000 0.7332
8 La 0.8500 0.0000 0.7291
9 Co 0.5000 0.5000 0.0000
10 Pd 0.5000 0.0000 0.0000
11 Rh 0.0000 0.2505 0.5000
12 Rh 0.0000 0.7495 0.5000


This record from Alexandria via LeMat-Bulk describes an optimized crystal structure of SrBiSeN2. The functional is GGA-PBE.

* energy relative to the lowest polymorph listed for this composition: 0 meV/atom
* space group: No. 123
* formation energy without anion corrections: 502 meV per atom

Cell: 4.4302 4.4302 5.7833 Å, 90.00 90.00 90.00°
Atoms (fractional coordinates):
1 Sr 0.0000 0.0000 0.0000
2 Bi 0.5000 0.5000 0.5000
3 Se 0.5000 0.5000 0.0000
4 N 0.0000 0.5000 0.5000
5 N 0.5000 0.0000 0.5000


This record from Alexandria via LeMat-Bulk describes an optimized crystal structure of Pr2BeCrPd6. The functional is GGA-PBE.

* space group: No. 12
* DFT formation energy: -452 meV/atom

Cell: 5.8953 5.8953 7.2458 Å, 114.32 114.32 59.81°
Atoms (fractional coordinates):
1 Pr 0.2232 0.2232 0.1732
2 Pr 0.7768 0.7768 0.8268
3 Be 0.0000 0.0000 0.5000
4 Cr 0.5000 0.5000 0.0000
5 Pd 0.2385 0.2385 0.6845
6 Pd 0.2393 0.7172 0.6911
7 Pd 0.2828 0.7607 0.3089
8 Pd 0.7172 0.2393 0.6911
9 Pd 0.7607 0.2828 0.3089
10 Pd 0.7615 0.7615 0.3155


This record from Alexandria via LeMat-Bulk describes an optimized crystal structure of ZnTc2NiAs. The functional is GGA-PBE.

* space group: No. 123
* DFT formation energy: 1770 meV/atom

Cell: 4.6778 4.6778 4.4573 Å, 90.00 90.00 90.00°
Atoms (fractional coordinates):
1 Zn 0.0000 0.0000 0.0000
2 Tc 0.0000 0.5000 0.0000
3 Tc 0.5000 0.0000 0.0000
4 Ni 0.5000 0.5000 0.5000
5 As 0.0000 0.0000 0.5000


This record from Alexandria via LeMat-Bulk describes an optimized crystal structure of PrPaAg2. The functional is GGA-PBE.

* space group: No. 123
* DFT formation energy: 74 meV/atom

Cell: 3.2624 3.2624 9.0700 Å, 90.00 90.00 90.00°
Atoms (fractional coordinates):
1 Pr 0.0000 0.0000 0.0000
2 Pa 0.0000 0.0000 0.5000
3 Ag 0.5000 0.5000 0.2578
4 Ag 0.5000 0.5000 0.7422


This record from Alexandria via LeMat-Bulk describes an optimized crystal structure of CuHgCl2. The functional is GGA-PBE.

* energy relative to the lowest polymorph listed for this composition: 622 meV/atom
* space group: No. 216
* formation energy without anion corrections: 252 meV per atom

Cell: 4.8880 4.8880 4.8880 Å, 60.00 60.00 60.00°
Atoms (fractional coordinates):
1 Cu 0.0000 0.0000 0.0000
2 Hg 0.2500 0.2500 0.2500
3 Cl 0.5000 0.5000 0.5000
4 Cl 0.7500 0.7500 0.7500


This record from Alexandria via LeMat-Bulk describes an optimized crystal structure of Ba2TlGa3Au12. The functional is GGA-PBE.

* space group: No. 166
* DFT formation energy: -202 meV/atom

Cell: 10.7213 10.7213 10.7213 Å, 38.57 38.57 38.57°
Atoms (fractional coordinates):
1 Ba 0.1477 0.1477 0.1477
2 Ba 0.8523 0.8523 0.8523
3 Tl 0.5000 0.5000 0.5000
4 Ga 0.0000 0.5000 0.5000
5 Ga 0.5000 0.0000 0.5000
6 Ga 0.5000 0.5000 0.0000
7 Au 0.0897 0.0897 0.6897
8 Au 0.0897 0.6897 0.0897
9 Au 0.1294 0.5778 0.5777
10 Au 0.3103 0.9103 0.9103
11 Au 0.4222 0.4223 0.8706
12 Au 0.4222 0.8706 0.4222
13 Au 0.5778 0.1294 0.5778
14 Au 0.5778 0.5778 0.1294
15 Au 0.6897 0.0897 0.0897
16 Au 0.8706 0.4222 0.4222
17 Au 0.9103 0.3103 0.9103
18 Au 0.9103 0.9103 0.3103


This record from Alexandria via LeMat-Bulk describes an optimized crystal structure of Sr2AcH. The functional is GGA-PBE.

* energy relative to the lowest polymorph listed for this composition: 212 meV/atom
* space group: No. 123

Cell: 3.7604 3.7604 10.0395 Å, 90.00 90.00 90.00°
Atoms (fractional coordinates):
1 Sr 0.0000 0.0000 0.1873
2 Sr 0.0000 0.0000 0.8127
3 Ac 0.5000 0.5000 0.5000
4 H 0.5000 0.5000 0.0000


This record from Alexandria via LeMat-Bulk describes an optimized crystal structure of FeTePd3. The functional is GGA-PBE.

* energy relative to the lowest polymorph listed for this composition: 0 meV/atom
* space group: No. 59
* formation energy without anion corrections: -26 meV per atom

Cell: 3.1171 7.7713 7.4928 Å, 90.00 90.00 90.00°
Atoms (fractional coordinates):
1 Fe 0.2500 0.2500 0.0251
2 Fe 0.7500 0.7500 0.9749
3 Te 0.2500 0.2500 0.6039
4 Te 0.7500 0.7500 0.3961
5 Pd 0.2500 0.5496 0.1613
6 Pd 0.2500 0.7500 0.7049
7 Pd 0.2500 0.9504 0.1613
8 Pd 0.7500 0.0496 0.8387
9 Pd 0.7500 0.2500 0.2951
10 Pd 0.7500 0.4504 0.8387


This record from Alexandria via LeMat-Bulk describes an optimized crystal structure of NiRu3C. The functional is GGA-PBE.

* energy relative to the lowest polymorph listed for this composition: 0 meV/atom
* space group: No. 221
* DFT formation energy: 380 meV/atom

Cell: 3.9811 3.9811 3.9811 Å, 90.00 90.00 90.00°
Atoms (fractional coordinates):
1 Ni 0.0000 0.0000 0.0000
2 Ru 0.0000 0.5000 0.5000
3 Ru 0.5000 0.0000 0.5000
4 Ru 0.5000 0.5000 0.0000
5 C 0.5000 0.5000 0.5000


This record from Alexandria via LeMat-Bulk describes an optimized crystal structure of Ce5CoIrPt2. The functional is GGA-PBE.

* space group: No. 36
* DFT formation energy: -675 meV/atom

Cell: 8.5922 8.5922 10.9221 Å, 90.00 90.00 149.27°
Atoms (fractional coordinates):
1 Ce 0.0002 0.9998 0.0000
2 Ce 0.9998 0.0002 0.5000
3 Ce 0.1347 0.8653 0.7494
4 Ce 0.2089 0.7911 0.4162
5 Ce 0.2097 0.7903 0.0809
6 Ce 0.4650 0.5350 0.7505
7 Ce 0.5350 0.4650 0.2505
8 Ce 0.7903 0.2097 0.5809
9 Ce 0.7911 0.2089 0.9162
10 Ce 0.8653 0.1347 0.2494
11 Co 0.0707 0.9293 0.2492
12 Co 0.9293 0.0707 0.7492
13 Ir 0.2934 0.7066 0.7484
14 Ir 0.7066 0.2934 0.2484
15 Pt 0.3888 0.6112 0.4378
16 Pt 0.3895 0.6105 0.0618
17 Pt 0.6105 0.3895 0.5618
18 Pt 0.6112 0.3888 0.9378


This record from Alexandria via LeMat-Bulk describes an optimized crystal structure of CaAl3P. The functional is GGA-PBE.

* energy relative to the lowest polymorph listed for this composition: 1343 meV/atom
* space group: No. 221
* DFT formation energy: 1523 meV/atom

Cell: 5.5138 5.5138 5.5138 Å, 90.00 90.00 90.00°
Atoms (fractional coordinates):
1 Ca 0.0000 0.0000 0.0000
2 Al 0.0000 0.0000 0.5000
3 Al 0.0000 0.5000 0.0000
4 Al 0.5000 0.0000 0.0000
5 P 0.5000 0.5000 0.5000


This record from Alexandria via LeMat-Bulk describes an optimized crystal structure of TbTaGa4. The functional is GGA-PBE.

* space group: No. 216
* DFT formation energy: -237 meV/atom

Cell: 5.3084 5.3084 5.3084 Å, 60.00 60.00 60.00°
Atoms (fractional coordinates):
1 Tb 0.0000 0.0000 0.0000
2 Ta 0.7500 0.7500 0.7500
3 Ga 0.3756 0.3756 0.3756
4 Ga 0.3756 0.3756 0.8733
5 Ga 0.3756 0.8733 0.3756
6 Ga 0.8733 0.3756 0.3756